1.
{"formula": "TbDyPu2N4", "functional": "PBE", "state": "optimized geometry", "cell": [[3.489, 0.000, 0.000], [0.000, 6.044, 0.104], [0.000, -2.111, 5.618]], "species": ["Tb", "Dy", "Pu", "Pu", "N", "N", "N", "N"], "fractional_positions": [[0.000, 0.000, 0.000], [0.500, 0.500, 0.000], [0.500, 0.000, 0.500], [0.000, 0.500, 0.500], [0.500, 0.254, 0.260], [0.500, 0.746, 0.740], [0.000, 0.248, 0.741], [0.000, 0.752, 0.259]], "n_ef_per_ev_atom": 1.563, "formation_energy_uncorrected_ev_per_atom": -1.468, "final_energy_ha_per_atom": -0.3810, "sg": "No. 10", "mass_density_kg_m3": 12051, "magmom_total_mub_per_fu": 9.52}

---

2.
{"formula": "Ac4FeAu2", "functional": "PBE", "state": "optimized geometry", "cell": [[-1.668, 4.925, -1.096], [-2.134, -1.735, -4.547], [-5.082, -3.103, 6.674]], "species": ["Ac", "Ac", "Ac", "Ac", "Au", "Au", "Fe"], "fractional_positions": [[0.819, 0.819, 0.637], [0.181, 0.181, 0.363], [0.000, 0.500, 0.000], [0.500, 0.000, 0.000], [0.628, 0.628, 0.257], [0.372, 0.372, 0.743], [0.000, 0.000, 0.000]], "n_ef_per_ev_atom": 1.268, "e_form_mev_per_atom": -259.9, "final_energy_ha_per_atom": -0.1747, "sg": "No. 139", "mass_density_kg_m3": 9838, "magmom_total_mub_per_fu": 0.00}

---

3.
{"formula": "NaAc2Y3Te6", "functional": "PBE", "state": "optimized geometry", "cell": [[4.472, 0.000, 0.000], [0.000, 9.168, 0.201], [-2.236, -2.774, 9.545]], "species": ["Na", "Ac", "Ac", "Y", "Y", "Y", "Te", "Te", "Te", "Te", "Te", "Te"], "fractional_positions": [[0.500, 0.000, 0.000], [0.832, 0.664, 0.664], [0.168, 0.336, 0.336], [0.500, 0.500, 0.000], [0.832, 0.173, 0.664], [0.168, 0.827, 0.336], [0.332, 0.936, 0.665], [0.660, 0.595, 0.319], [0.668, 0.064, 0.335], [0.995, 0.255, 0.989], [0.005, 0.745, 0.011], [0.340, 0.405, 0.681]], "n_ef_per_ev_atom": 0.375, "formation_energy_uncorrected_ev_per_atom": -1.383, "final_energy_ha_per_atom": -0.1972, "sg": "No. 12", "mass_density_kg_m3": 6363, "magmom_total_mub_per_fu": 0.00}

---

4.
{"formula": "Na2Ag5Pd2Au", "functional": "PBE", "state": "optimized geometry", "cell": [[4.311, 0.000, 0.000], [0.000, 9.478, 0.000], [0.000, 0.000, 9.478]], "species": ["Na", "Na", "Na", "Na", "Ag", "Ag", "Ag", "Ag", "Ag", "Ag", "Ag", "Ag", "Ag", "Ag", "Pd", "Pd", "Pd", "Pd", "Au", "Au"], "fractional_positions": [[0.000, 0.673, 0.173], [0.000, 0.327, 0.827], [0.000, 0.173, 0.327], [0.000, 0.827, 0.673], [0.500, 0.200, 0.071], [0.500, 0.800, 0.929], [0.500, 0.071, 0.800], [0.500, 0.700, 0.429], [0.500, 0.929, 0.200], [0.500, 0.300, 0.571], [0.500, 0.571, 0.700], [0.500, 0.429, 0.300], [0.500, 0.500, 0.000], [0.500, 0.000, 0.500], [0.000, 0.124, 0.624], [0.000, 0.876, 0.376], [0.000, 0.624, 0.876], [0.000, 0.376, 0.124], [0.000, 0.000, 0.000], [0.000, 0.500, 0.500]], "n_ef_per_ev_atom": 0.279, "e_form_mev_per_atom": -44.9, "final_energy_ha_per_atom": -0.1139, "sg": "No. 127", "mass_density_kg_m3": 8534, "magmom_total_mub_per_fu": 0.00}

---

5.
{"formula": "LiGe2Pt8", "functional": "PBE", "state": "optimized geometry", "cell": [[-3.507, -1.935, -1.531], [4.300, -1.074, -5.255], [1.214, -3.973, 5.477]], "species": ["Li", "Ge", "Ge", "Pt", "Pt", "Pt", "Pt", "Pt", "Pt", "Pt", "Pt"], "fractional_positions": [[0.500, 0.000, 0.000], [0.000, 0.321, 0.679], [0.000, 0.679, 0.321], [0.897, 0.922, 0.681], [0.897, 0.681, 0.922], [0.325, 0.630, 0.630], [0.500, 0.780, 0.220], [0.500, 0.220, 0.780], [0.675, 0.370, 0.370], [0.103, 0.319, 0.078], [0.103, 0.078, 0.319]], "n_ef_per_ev_atom": 0.644, "e_form_mev_per_atom": -247.9, "final_energy_ha_per_atom": -0.2078, "sg": "No. 12", "mass_density_kg_m3": 16167, "magmom_total_mub_per_fu": 0.00}

---

6.
{"formula": "FeTe2CI", "functional": "PBE", "state": "optimized geometry", "cell": [[-2.426, 1.342, 3.789], [-3.761, -2.321, -1.586], [1.473, -3.999, 2.360]], "species": ["I", "C", "Te", "Te", "Fe"], "fractional_positions": [[0.000, 0.000, 0.500], [0.000, 0.000, 0.000], [0.000, 0.500, 0.000], [0.500, 0.000, 0.000], [0.500, 0.500, 0.500]], "n_ef_per_ev_atom": 1.408, "polymorph_energy_mev_per_atom": 0, "formation_energy_uncorrected_ev_per_atom": 1.676, "final_energy_ha_per_atom": -0.1260, "sg": "No. 123", "mass_density_kg_m3": 6959, "magmom_total_mub_per_fu": 0.07}

---

7.
{"formula": "PmAl2Pd3", "functional": "PBE", "state": "optimized geometry", "cell": [[-2.495, -2.926, 3.857], [1.798, -5.431, -2.958], [5.029, 0.885, 3.924]], "species": ["Pm", "Pm", "Al", "Al", "Al", "Al", "Pd", "Pd", "Pd", "Pd", "Pd", "Pd"], "fractional_positions": [[0.250, 0.321, 0.321], [0.750, 0.679, 0.679], [0.500, 0.781, 0.219], [0.000, 0.781, 0.219], [0.000, 0.219, 0.781], [0.500, 0.219, 0.781], [0.750, 0.457, 0.117], [0.750, 0.117, 0.457], [0.250, 0.543, 0.883], [0.750, 0.031, 0.031], [0.250, 0.969, 0.969], [0.250, 0.883, 0.543]], "n_ef_per_ev_atom": 0.519, "e_form_mev_per_atom": -843.5, "final_energy_ha_per_atom": -0.2014, "sg": "No. 63", "mass_density_kg_m3": 7742, "magmom_total_mub_per_fu": 0.00}

---

8.
{"formula": "Co3H", "functional": "PBE", "state": "optimized geometry", "cell": [[3.781, 0.000, 0.000], [1.890, 3.274, 0.000], [1.890, 1.091, 3.087]], "species": ["Co", "Co", "Co", "H"], "fractional_positions": [[0.250, 0.250, 0.250], [0.750, 0.750, 0.750], [0.500, 0.500, 0.500], [0.000, 0.000, 0.000]], "n_ef_per_ev_atom": 0.891, "polymorph_energy_mev_per_atom": 552, "final_energy_ha_per_atom": -0.2067, "sg": "No. 225", "mass_density_kg_m3": 7725, "magmom_total_mub_per_fu": 4.40}